# Sm2Ga4CoCu3

A relaxed Sm2Ga4CoCu3 crystal (PBE, the Alexandria database).

Calculated values
formation enthalpy at 0 K: -0.419 eV/atom
space group: P-4m2 (115)
M_tot: 0.97 μB/cell

Cell: 4.1485 4.1485 10.1794 Å, 90.00 90.00 90.00°
Closest atoms and distances in Å follow each position.
Fractional coordinates of all 10 atoms:
1 Ga 0.5000 0.0000 0.6245  2 Co 2.43, 3 Cu 2.43-2.44
2 Ga 0.0000 0.0000 0.0000  4 Cu 2.49
3 Co 0.5000 0.5000 0.5000  4 Ga 2.43
4 Cu 0.0000 0.0000 0.5000  4 Ga 2.43
5 Ga 0.0000 0.5000 0.3755  3 Cu 2.43-2.44, 2 Co 2.43
6 Sm 0.0000 0.5000 0.7433  8 Ga 3.17-3.34, 6 Cu 3.18-3.23, 2 Co 3.23
7 Ga 0.5000 0.5000 0.0000  4 Cu 2.49
8 Sm 0.5000 0.0000 0.2567  8 Ga 3.17-3.34, 6 Cu 3.18-3.23, 2 Co 3.23
9 Cu 0.5000 0.0000 0.8641  5 Ga 2.44-2.49
10 Cu 0.0000 0.5000 0.1359  5 Ga 2.44-2.49



# BaYAg2

A relaxed BaYAg2 crystal (PBE, the Alexandria database).

Calculated values
energy relative to the lowest polymorph listed for this composition: 0.170 eV/atom
formation enthalpy at 0 K: -0.079 eV/atom
space group: R3m (160)
M_tot: 0.72 μB/cell

Cell: 7.2961 7.2961 7.2961 Å, 38.54 38.54 38.54°
Closest atoms and distances in Å follow each position.
Fractional coordinates of all 4 atoms:
1 Y 0.7033 0.7033 0.7033  6 Ag 3.06-3.08
2 Ag 0.9709 0.9709 0.9709  3 Ag 2.78, 3 Y 3.08
3 Ba 0.5187 0.5187 0.5187  6 Ag 3.68-3.72, 4 Y 3.74-4.10
4 Ag 0.3071 0.3071 0.3071  3 Ag 2.78, 3 Y 3.06



# Rb4TaTe5

A relaxed Rb4TaTe5 crystal (PBE, the Alexandria database).

Calculated values
uncorrected formation energy: -7.1 eV/f.u.
space group: I4 (79)
M_tot: 0.94 μB/cell

Cell: 7.4006 8.6995 8.6995 Å, 79.58 64.83 64.83°
Closest atoms and distances in Å follow each position.
Fractional coordinates of all 10 atoms:
1 Ta 0.0913 0.0000 0.0000  5 Te 2.62-2.76
2 Te 0.9194 0.3034 0.8481  1 Ta 2.76
3 Te 0.2228 0.8481 0.6966  1 Ta 2.76
4 Te 0.0709 0.6966 0.1519  1 Ta 2.76
5 Te 0.4451 0.0000 0.0000  1 Ta 2.62
6 Te 0.7675 0.1519 0.3034  1 Ta 2.76
7 Rb 0.5855 0.6108 0.2149  5 Te 3.52-3.82
8 Rb 0.8004 0.7851 0.6108  5 Te 3.52-3.82
9 Rb 0.1962 0.2149 0.3892  5 Te 3.52-3.82
10 Rb 0.4111 0.3892 0.7851  5 Te 3.52-3.82



What are the DFT total energy values for these records? In order: -45.133; -14.403; -38.499 eV per cell.